Computed, not measured: NbAsIrSe2 after structural relaxation at the PBE level of DFT.

It has space group P4/mmm (No. 123), with a = 4.8812 Å, b = 4.8812 Å, c = 4.6731 Å, α = 90.00°, β = 90.00° and γ = 90.00°. The distinct sites, in fractional coordinates, are Nb at (0.0000, 0.0000, 0.0000), As at (0.5000, 0.5000, 0.0000), Ir at (0.5000, 0.5000, 0.5000) and Se at (0.0000, 0.5000, 0.5000).

For the uncorrected formation energy, the calculation gives 81 kJ/mol of atoms. The value obtained for the relative energy among the computed polymorphs is 0.0 meV per atom.